1.
DFT (PBE) results for an optimized crystal structure of In2CuPt9.

- Space-group type: P4/mmm, No. 123
- Final energy: -0.206 hartree per atom
- Formation energy from the elements: -3.3 eV per formula unit
- DOS(E_F): 13.95 states/eV/cell
- Total magnetic moment: 0.0 μB per formula unit

abc: 4.0198 4.0198 11.9334
angles: 90.00 90.00 90.00
Last column: nearest neighbours and their distance in Å.
Fractional coordinates of all 12 atoms:
In 0.0000 0.0000 0.1725  12 Pt 2.84-2.88
In 0.0000 0.0000 0.8275  12 Pt 2.84-2.88
Cu 0.0000 0.0000 0.5000  12 Pt 2.75-2.84
Pt 0.0000 0.5000 0.0000  8 Pt 2.84-2.87, 4 In 2.88
Pt 0.0000 0.5000 0.3433  2 Cu 2.75, 8 Pt 2.75-2.87, 2 In 2.86
Pt 0.0000 0.5000 0.6567  2 Cu 2.75, 8 Pt 2.75-2.87, 2 In 2.86
Pt 0.5000 0.0000 0.0000  8 Pt 2.84-2.87, 4 In 2.88
Pt 0.5000 0.0000 0.3433  2 Cu 2.75, 8 Pt 2.75-2.87, 2 In 2.86
Pt 0.5000 0.0000 0.6567  2 Cu 2.75, 8 Pt 2.75-2.87, 2 In 2.86
Pt 0.5000 0.5000 0.1711  4 In 2.84, 8 Pt 2.87
Pt 0.5000 0.5000 0.5000  8 Pt 2.75, 4 Cu 2.84
Pt 0.5000 0.5000 0.8289  4 In 2.84, 8 Pt 2.87

=====

2.
DFT (PBE) results for an optimized crystal structure of InCuPt.

- Space-group type: F-43m, No. 216
- Final energy: -0.165 hartree per atom
- Formation energy from the elements: -0.6 eV per formula unit
- DOS(E_F): 3.82 states/eV/cell
- Total magnetic moment: 0.0 μB per formula unit

abc: 6.1732 6.1732 6.1732
angles: 90.00 90.00 90.00
Last column: nearest neighbours and their distance in Å.
Fractional coordinates of all 12 atoms:
In 0.0000 0.0000 0.0000  4 Pt 2.67
In 0.0000 0.5000 0.5000  4 Pt 2.67
In 0.5000 0.0000 0.5000  4 Pt 2.67
In 0.5000 0.5000 0.0000  4 Pt 2.67
Cu 0.0000 0.0000 0.5000  4 Pt 2.67
Cu 0.0000 0.5000 0.0000  4 Pt 2.67
Cu 0.5000 0.0000 0.0000  4 Pt 2.67
Cu 0.5000 0.5000 0.5000  4 Pt 2.67
Pt 0.2500 0.2500 0.7500  4 In 2.67, 4 Cu 2.67
Pt 0.2500 0.7500 0.2500  4 In 2.67, 4 Cu 2.67
Pt 0.7500 0.2500 0.2500  4 In 2.67, 4 Cu 2.67
Pt 0.7500 0.7500 0.7500  4 In 2.67, 4 Cu 2.67

=====

3.
DFT (PBE) results for an optimized crystal structure of InCuPt2.

- Space-group type: Cm, No. 8
- Final energy: -0.183 hartree per atom
- Formation energy from the elements: -1.0 eV per formula unit
- DOS(E_F): 1.87 states/eV/cell
- Total magnetic moment: 0.0 μB per formula unit

abc: 9.4227 2.9790 4.7201
angles: 90.00 102.88 90.00
Last column: nearest neighbours and their distance in Å.
Fractional coordinates of all 8 atoms:
In 0.0000 0.0000 0.0000  7 Pt 2.75-2.83, 3 Cu 2.92-2.99, 2 In 2.98
In 0.5000 0.5000 0.0000  7 Pt 2.75-2.83, 3 Cu 2.92-2.99, 2 In 2.98
Cu 0.2548 0.5000 0.3060  7 Pt 2.70-2.84, 3 In 2.92-2.99, 2 Cu 2.98
Cu 0.7548 0.0000 0.3060  7 Pt 2.70-2.84, 3 In 2.92-2.99, 2 Cu 2.98
Pt 0.2497 0.0000 0.7915  4 Cu 2.74-2.84, 3 In 2.75-2.78, 5 Pt 2.90-2.99
Pt 0.4969 0.0000 0.4881  3 Cu 2.70-2.75, 4 In 2.75-2.83, 5 Pt 2.90-2.99
Pt 0.7497 0.5000 0.7915  4 Cu 2.74-2.84, 3 In 2.75-2.78, 5 Pt 2.90-2.99
Pt 0.9969 0.5000 0.4881  3 Cu 2.70-2.75, 4 In 2.75-2.83, 5 Pt 2.90-2.99

=====

4.
DFT (PBE) results for an optimized crystal structure of InCuPt2.

- Space-group type: P4/mmm, No. 123
- Final energy: -0.188 hartree per atom
- Formation energy from the elements: -1.5 eV per formula unit
- DOS(E_F): 1.04 states/eV/cell
- Total magnetic moment: 0.0 μB per formula unit

abc: 4.0775 4.0775 3.8257
angles: 90.00 90.00 90.00
Last column: nearest neighbours and their distance in Å.
Fractional coordinates of all 4 atoms:
In 0.0000 0.0000 0.0000  8 Pt 2.80, 4 Cu 2.88
Cu 0.5000 0.5000 0.0000  8 Pt 2.80, 4 In 2.88
Pt 0.0000 0.5000 0.5000  4 In 2.80, 4 Cu 2.80, 4 Pt 2.88
Pt 0.5000 0.0000 0.5000  4 In 2.80, 4 Cu 2.80, 4 Pt 2.88

=====

5.
DFT (PBE) results for an optimized crystal structure of InCuPt4.

- Space-group type: F-43m, No. 216
- Final energy: -0.190 hartree per atom
- Formation energy from the elements: 0.0 eV per formula unit
- DOS(E_F): 7.39 states/eV/cell
- Total magnetic moment: 0.0 μB per formula unit

abc: 5.3079 5.3079 5.3079
angles: 60.00 60.00 60.00
Last column: nearest neighbours and their distance in Å.
Fractional coordinates of all 6 atoms:
In 0.0000 0.0000 0.0000  12 Pt 3.11, 4 Cu 3.25
Cu 0.7500 0.7500 0.7500  12 Pt 3.11, 4 In 3.25
Pt 0.3752 0.3752 0.3752  6 Pt 2.65-2.66
Pt 0.3752 0.3752 0.8743  6 Pt 2.65-2.66
Pt 0.3752 0.8743 0.3752  6 Pt 2.65-2.66
Pt 0.8743 0.3752 0.3752  6 Pt 2.65-2.66

=====

6.
DFT (PBE) results for an optimized crystal structure of InCuPt.

- Space-group type: I4mm, No. 107
- Final energy: -0.166 hartree per atom
- Formation energy from the elements: -0.7 eV per formula unit
- DOS(E_F): 1.79 states/eV/cell
- Total magnetic moment: 0.0 μB per formula unit

abc: 3.3837 3.3837 8.5726
angles: 90.00 90.00 90.00
Last column: nearest neighbours and their distance in Å.
Fractional coordinates of all 6 atoms:
In 0.0000 0.0000 0.0000  5 Pt 2.80-2.82, 5 Cu 2.80-2.82
In 0.5000 0.5000 0.5000  5 Pt 2.80-2.82, 5 Cu 2.80-2.82
Cu 0.0000 0.0000 0.3293  5 Pt 2.74-2.95, 5 In 2.80-2.82
Cu 0.5000 0.5000 0.8293  5 Pt 2.74-2.95, 5 In 2.80-2.82
Pt 0.0000 0.0000 0.6730  5 Cu 2.74-2.95, 5 In 2.80-2.82
Pt 0.5000 0.5000 0.1730  5 Cu 2.74-2.95, 5 In 2.80-2.82